The following is a GGA-PBE calculation of a relaxed structure of K2Rh, from Alexandria via LeMat-Bulk.

Cell: 7.8639 7.8639 7.8639 Å, 90.00 90.00 90.00°
Space group Fm-3m (No. 225)
Asymmetric unit:
K: 0.2500 0.2500 0.2500
Rh: 0.0000 0.0000 0.0000

Total energy   -2.39 eV per atom
ΔE to the lowest computed polymorph   1.31 eV per formula unit
Energy of formation from the pure elements   0.791 eV/atom

***

The following is a GGA-PBE calculation of a relaxed structure of Hf4As3H4, from Alexandria via LeMat-Bulk.

Cell: 3.4218 7.1640 12.5365 Å, 90.00 90.00 90.00°
Space group Immm (No. 71)
Asymmetric unit:
Hf: 0.0000 0.0000 0.2051
Hf: 0.0000 0.2187 0.5000
As: 0.0000 0.0000 0.0000
As: 0.0000 0.5000 0.1259
H: 0.0000 0.3442 0.3424

Total energy   -6.61 eV per atom

***

The following is a GGA-PBE calculation of a relaxed structure of CuSiSn3, from Alexandria via LeMat-Bulk.

Cell: 5.1739 5.1739 5.1739 Å, 90.00 90.00 90.00°
Space group Pm-3m (No. 221)
Asymmetric unit:
Cu: 0.0000 0.0000 0.0000
Si: 0.5000 0.5000 0.5000
Sn: 0.0000 0.5000 0.5000

Raw formation energy   0.764 eV/atom
Total energy   -3.54 eV per atom
ΔE to the lowest computed polymorph   1.13 eV per formula unit

***

The following is a GGA-PBE calculation of a relaxed structure of NpFe4Au, from Alexandria via LeMat-Bulk.

Cell: 7.0995 7.0995 7.0995 Å, 90.00 90.00 90.00°
Space group F-43m (No. 216)
Asymmetric unit:
Np: 0.0000 0.0000 0.0000
Fe: 0.1248 0.1248 0.3752
Au: 0.2500 0.2500 0.7500

Total energy   -8.11 eV per atom
Energy of formation from the pure elements   0.234 eV/atom

***

The following is a GGA-PBE calculation of a relaxed structure of VSiTcIr, from Alexandria via LeMat-Bulk.

Cell: 5.9951 5.9951 5.9951 Å, 90.00 90.00 90.00°
Space group F-43m (No. 216)
Asymmetric unit:
V: 0.0000 0.0000 0.0000
Si: 0.0000 0.0000 0.5000
Tc: 0.2500 0.2500 0.7500
Ir: 0.2500 0.2500 0.2500

Raw formation energy   -0.523 eV/atom
Total energy   -8.97 eV per atom

***

The following is a GGA-PBE calculation of a relaxed structure of MoHSI2, from Alexandria via LeMat-Bulk.

Cell: 5.7062 5.7062 3.5140 Å, 90.00 90.00 90.00°
Space group P4/mmm (No. 123)
Asymmetric unit:
Mo: 0.0000 0.0000 0.0000
H: 0.5000 0.5000 0.0000
S: 0.5000 0.5000 0.5000
I: 0.0000 0.5000 0.5000

Total energy   -3.34 eV per atom

***

The following is a GGA-PBE calculation of a relaxed structure of Sm5Os2Au, from Alexandria via LeMat-Bulk.

Cell: 7.8459 7.8459 13.4915 Å, 90.00 90.00 90.00°
Space group I4/mcm (No. 140)
Asymmetric unit:
Sm: 0.0000 0.0000 0.0000
Sm: 0.1618 0.3382 0.1353
Os: 0.1371 0.3629 0.5000
Au: 0.0000 0.0000 0.2500

Total energy   -6.50 eV per atom
Energy of formation from the pure elements   -0.331 eV/atom

***

The following is a GGA-PBE calculation of a relaxed structure of ScCu2RuI, from Alexandria via LeMat-Bulk.

Cell: 4.7587 4.7587 4.8750 Å, 90.00 90.00 90.00°
Space group P4/mmm (No. 123)
Asymmetric unit:
Sc: 0.0000 0.0000 0.0000
Cu: 0.0000 0.5000 0.5000
Ru: 0.5000 0.5000 0.0000
I: 0.5000 0.5000 0.5000

Raw formation energy   1.075 eV/atom
Total energy   -4.00 eV per atom

***

The following is a GGA-PBE calculation of a relaxed structure of Cu2Bi2Au, from Alexandria via LeMat-Bulk.

Cell: 7.9846 7.9846 3.4889 Å, 90.00 90.00 90.00°
Space group P4/mbm (No. 127)
Asymmetric unit:
Cu: 0.1096 0.3904 0.0000
Bi: 0.1860 0.6860 0.5000
Au: 0.0000 0.0000 0.5000

Total energy   -3.58 eV per atom
ΔE to the lowest computed polymorph   0.78 eV per formula unit
Energy of formation from the pure elements   0.270 eV/atom

***

The following is a GGA-PBE calculation of a relaxed structure of HoPu2Si2Au2, from Alexandria via LeMat-Bulk.

Cell: 4.0663 4.0663 28.1604 Å, 90.00 90.00 120.00°
Space group R-3m (No. 166, hexagonal axes)
Asymmetric unit:
Ho: 0.0000 0.0000 0.0000
Pu: 0.0000 0.0000 0.1512
Si: 0.0000 0.0000 0.2496
Au: 0.0000 0.0000 0.3999

Raw formation energy   -0.359 eV/atom
Total energy   -7.59 eV per atom

***

The following is a GGA-PBE calculation of a relaxed structure of NdPuCo10, from Alexandria via LeMat-Bulk.

Cell: 3.9764 4.9073 8.5967 Å, 90.00 90.00 90.00°
Space group Pmmm (No. 47)
Asymmetric unit:
Nd: 0.0000 0.0000 0.0000
Pu: 0.0000 0.5000 0.5000
Co: 0.0000 0.0000 0.3401
Co: 0.0000 0.5000 0.1890
Co: 0.5000 0.0000 0.5000
Co: 0.5000 0.2488 0.2505
Co: 0.5000 0.5000 0.0000

Total energy   -7.47 eV per atom
Energy of formation from the pure elements   0.044 eV/atom

***

The following is a GGA-PBE calculation of a relaxed structure of PmBiAu2, from Alexandria via LeMat-Bulk.

Cell: 7.3000 7.3000 7.3000 Å, 90.00 90.00 90.00°
Space group Fm-3m (No. 225)
Asymmetric unit:
Pm: 0.0000 0.0000 0.0000
Bi: 0.0000 0.0000 0.5000
Au: 0.2500 0.2500 0.2500

Total energy   -4.40 eV per atom
ΔE to the lowest computed polymorph   0.00 eV per formula unit
Energy of formation from the pure elements   -0.606 eV/atom

***

The following is a GGA-PBE calculation of a relaxed structure of LaIn2CuAu4, from Alexandria via LeMat-Bulk.

Cell: 4.6639 4.6639 27.1308 Å, 90.00 90.00 120.00°
Space group R-3m (No. 166, hexagonal axes)
Asymmetric unit:
La: 0.0000 0.0000 0.0000
In: 0.0000 0.0000 0.2415
Cu: 0.0000 0.0000 0.5000
Au: 0.0000 0.0000 0.1358
Au: 0.0000 0.0000 0.3960

Total energy   -3.84 eV per atom
Energy of formation from the pure elements   -0.390 eV/atom

***

The following is a GGA-PBE calculation of a relaxed structure of K2RbSrPd, from Alexandria via LeMat-Bulk.

Cell: 6.7038 6.7038 5.9535 Å, 90.00 90.00 90.00°
Space group P4/mmm (No. 123)
Asymmetric unit:
K: 0.0000 0.5000 0.0000
Rb: 0.0000 0.0000 0.5000
Sr: 0.5000 0.5000 0.5000
Pd: 0.5000 0.5000 0.0000

Total energy   -2.02 eV per atom
Energy of formation from the pure elements   -0.012 eV/atom

***

The following is a GGA-PBE calculation of a relaxed structure of Sc3PRh, from Alexandria via LeMat-Bulk.

Cell: 4.8025 4.8025 4.8025 Å, 90.00 90.00 90.00°
Space group Pm-3m (No. 221)
Asymmetric unit:
Sc: 0.0000 0.0000 0.5000
P: 0.0000 0.0000 0.0000
Rh: 0.5000 0.5000 0.5000

Total energy   -6.70 eV per atom
ΔE to the lowest computed polymorph   0.00 eV per formula unit
Energy of formation from the pure elements   -0.347 eV/atom

***

The following is a GGA-PBE calculation of a relaxed structure of Ac3PmHg2, from Alexandria via LeMat-Bulk.

Cell: 3.9980 3.9980 13.3596 Å, 90.00 90.00 90.00°
Space group P4/mmm (No. 123)
Asymmetric unit:
Ac: 0.0000 0.0000 0.0000
Ac: 0.0000 0.0000 0.3067
Pm: 0.5000 0.5000 0.5000
Hg: 0.5000 0.5000 0.1566

Total energy   -3.24 eV per atom
ΔE to the lowest computed polymorph   0.00 eV per formula unit
Energy of formation from the pure elements   -0.296 eV/atom

***

The following is a GGA-PBE calculation of a relaxed structure of AlZnSb2, from Alexandria via LeMat-Bulk.

Cell: 3.7239 3.7239 7.1805 Å, 90.00 90.00 90.00°
Space group P4mm (No. 99)
Asymmetric unit:
Al: 0.0000 0.0000 0.0000
Zn: 0.5000 0.5000 0.7777
Sb: 0.0000 0.0000 0.6127
Sb: 0.5000 0.5000 0.1641

Raw formation energy   0.095 eV/atom
Total energy   -3.22 eV per atom
ΔE to the lowest computed polymorph   0.42 eV per formula unit

***

The following is a GGA-PBE calculation of a relaxed structure of ZrCoS2, from Alexandria via LeMat-Bulk.

Cell: 3.5458 3.5458 22.2826 Å, 90.00 90.00 120.00°
Space group R-3m (No. 166, hexagonal axes)
Asymmetric unit:
Zr: 0.0000 0.0000 0.0000
Co: 0.0000 0.0000 0.5000
S: 0.0000 0.0000 0.4039

Raw formation energy   -0.674 eV/atom
Total energy   -6.65 eV per atom
ΔE to the lowest computed polymorph   0.40 eV per formula unit

***

The following is a GGA-PBE calculation of a relaxed structure of HoTh4O10, from Alexandria via LeMat-Bulk.

Cell: 3.9556 3.9556 48.1163 Å, 90.00 90.00 120.00°
Space group R-3m (No. 166, hexagonal axes)
Asymmetric unit:
Ho: 0.0000 0.0000 0.0000
Th: 0.0000 0.0000 0.2005
Th: 0.0000 0.0000 0.3982
O: 0.0000 0.0000 0.0486
O: 0.0000 0.0000 0.1498
O: 0.0000 0.0000 0.2512
O: 0.0000 0.0000 0.3484
O: 0.0000 0.0000 0.4492

Raw formation energy   -3.657 eV/atom
Total energy   -9.25 eV per atom

***

The following is a GGA-PBE calculation of a relaxed structure of NaAc2As3Rh4, from Alexandria via LeMat-Bulk.

Cell: 4.2368 4.2368 11.1612 Å, 90.00 90.00 90.00°
Space group P-4m2 (No. 115)
Asymmetric unit:
Na: 0.0000 0.0000 0.0000
Ac: 0.0000 0.5000 0.7520
As: 0.0000 0.5000 0.3750
As: 0.5000 0.5000 0.0000
Rh: 0.0000 0.0000 0.5000
Rh: 0.0000 0.5000 0.1569
Rh: 0.5000 0.5000 0.5000

Total energy   -6.07 eV per atom
Energy of formation from the pure elements   -0.783 eV/atom

***

The following is a GGA-PBE calculation of a relaxed structure of Li2YRe, from Alexandria via LeMat-Bulk.

Cell: 2.7916 4.4299 6.2073 Å, 90.00 101.99 90.00°
Space group Pm (No. 6)
Asymmetric unit:
Li: 0.0000 0.0000 0.0000
Li: 0.3199 0.5000 0.2026
Y: 0.3876 0.5000 0.6664
Re: 0.7940 0.0000 0.4298

Total energy   -5.26 eV per atom
ΔE to the lowest computed polymorph   0.15 eV per formula unit
Energy of formation from the pure elements   0.427 eV/atom

***

The following is a GGA-PBE calculation of a relaxed structure of CrTe2Ru, from Alexandria via LeMat-Bulk.

Cell: 6.5565 6.5565 6.5565 Å, 90.00 90.00 90.00°
Space group Fm-3m (No. 225)
Asymmetric unit:
Cr: 0.0000 0.0000 0.0000
Te: 0.2500 0.2500 0.2500
Ru: 0.0000 0.0000 0.5000

Raw formation energy   0.429 eV/atom
Total energy   -5.87 eV per atom
ΔE to the lowest computed polymorph   1.93 eV per formula unit

***

The following is a GGA-PBE calculation of a relaxed structure of PaCdAs2O8, from Alexandria via LeMat-Bulk.

Cell: 7.1658 7.1658 6.5343 Å, 90.00 90.00 90.00°
Space group I-4m2 (No. 119)
Asymmetric unit:
Pa: 0.0000 0.0000 0.0000
Cd: 0.0000 0.5000 0.2500
As: 0.0000 0.0000 0.5000
As: 0.0000 0.5000 0.7500
O: 0.0000 0.1779 0.3211
O: 0.0000 0.3068 0.9283

Raw formation energy   -1.797 eV/atom
Total energy   -6.74 eV per atom

***

The following is a GGA-PBE calculation of a relaxed structure of CaTl4Pt, from Alexandria via LeMat-Bulk.

Cell: 8.7631 8.7631 8.7631 Å, 90.00 90.00 90.00°
Space group F-43m (No. 216)
Asymmetric unit:
Ca: 0.0000 0.0000 0.0000
Tl: 0.1241 0.1241 0.3759
Pt: 0.2500 0.2500 0.7500

Total energy   -2.74 eV per atom
Energy of formation from the pure elements   0.179 eV/atom

***

The following is a GGA-PBE calculation of a relaxed structure of TbNiRhAu, from Alexandria via LeMat-Bulk.

Cell: 6.5154 6.5154 6.5154 Å, 90.00 90.00 90.00°
Space group F-43m (No. 216)
Asymmetric unit:
Tb: 0.0000 0.0000 0.0000
Ni: 0.2500 0.2500 0.2500
Rh: 0.2500 0.2500 0.7500
Au: 0.0000 0.0000 0.5000

Total energy   -5.65 eV per atom
Energy of formation from the pure elements   -0.388 eV/atom

***

The following is a GGA-PBE calculation of a relaxed structure of LiMoAs2Se, from Alexandria via LeMat-Bulk.

Cell: 4.8741 4.8741 5.1278 Å, 90.00 90.00 90.00°
Space group P4/mmm (No. 123)
Asymmetric unit:
Li: 0.0000 0.0000 0.0000
Mo: 0.5000 0.5000 0.5000
As: 0.0000 0.5000 0.5000
Se: 0.5000 0.5000 0.0000

Raw formation energy   0.111 eV/atom
Total energy   -4.99 eV per atom
ΔE to the lowest computed polymorph   0.00 eV per formula unit